1.
Computed, not measured: a relaxed RbNaThO3 crystal at the PBE level of DFT.

It has space group P2_1/m (No. 11), with a = 7.007 Å, b = 3.766 Å, c = 9.504 Å, α = 90.00°, β = 104.12° and γ = 90.00°. The inequivalent atoms are Rb at (0.119, 0.250, 0.187), Na at (0.170, 0.750, 0.539), Th at (0.381, 0.250, 0.827), O at (0.087, 0.250, 0.673), O at (0.320, 0.750, 0.979) and O at (0.470, 0.750, 0.719).

Its total energy is -6.616 eV per atom.



2.
Computed, not measured: a relaxed Ca4As2P crystal at the PBE level of DFT.

It has space group I4/mmm (No. 139), with a = 5.207 Å, b = 5.207 Å, c = 15.369 Å, α = 90.00°, β = 90.00° and γ = 90.00°. The inequivalent atoms are Ca at (0.000, 0.000, 0.181), Ca at (0.000, 0.500, 0.000), As at (0.000, 0.000, 0.370) and P at (0.000, 0.000, 0.000).

The formation energy is -0.87 eV/atom. As for the excess energy over the best structure of this formula in the dataset: 129 meV/atom.



Number 1: total magnetization 0.00 Bohr magnetons per cell. Number 2: total magnetization 0.00 Bohr magnetons per cell.